# 1
Compound: Ba3In5Ge2
Source: Alexandria
Functional: GGA-PBE
Structure: optimized geometry

Results
Its total magnetization is 0.00 Bohr magnetons per cell. The value obtained for the formation enthalpy at 0 K is -332 meV/atom. The total DFT energy (no corrections) comes out at -3.20 eV/atom.

a = 7.288 Å, b = 10.371 Å, c = 10.371 Å
α = 67.64°, β = 69.43°, γ = 69.43°
Positions (direct):
Ba (0.250, 0.000, 0.000)
Ba (0.750, 0.000, 0.000)
Ba (0.355, 0.425, 0.864)
Ba (0.645, 0.575, 0.136)
Ba (0.855, 0.864, 0.425)
Ba (0.145, 0.136, 0.575)
In (0.250, 0.500, 0.500)
In (0.750, 0.500, 0.500)
In (0.485, 0.765, 0.765)
In (0.015, 0.235, 0.235)
In (0.515, 0.235, 0.235)
In (0.985, 0.765, 0.765)
In (0.132, 0.489, 0.247)
In (0.868, 0.511, 0.753)
In (0.632, 0.247, 0.489)
In (0.368, 0.753, 0.511)
Ge (0.137, 0.723, 0.003)
Ge (0.863, 0.277, 0.997)
Ge (0.637, 0.003, 0.723)
Ge (0.363, 0.997, 0.277)



# 2
Compound: Ba3In8Ge3
Source: Alexandria
Functional: GGA-PBE
Structure: optimized geometry

Results
Its total magnetization is 0.00 Bohr magnetons per cell. The value obtained for the formation enthalpy at 0 K is -285 meV/atom. The total DFT energy (no corrections) comes out at -3.25 eV/atom.

a = 5.149 Å, b = 9.368 Å, c = 9.368 Å
α = 74.19°, β = 74.05°, γ = 74.05°
Positions (direct):
Ba (0.500, 0.500, 0.500)
Ba (0.824, 0.176, 0.176)
Ba (0.176, 0.824, 0.824)
In (0.633, 0.089, 0.644)
In (0.367, 0.911, 0.356)
In (0.633, 0.644, 0.089)
In (0.367, 0.356, 0.911)
In (0.838, 0.794, 0.530)
In (0.162, 0.206, 0.470)
In (0.838, 0.530, 0.794)
In (0.162, 0.470, 0.206)
Ge (0.500, 0.000, 0.000)
Ge (0.000, 0.789, 0.211)
Ge (0.000, 0.211, 0.789)